An optimized crystal structure of Ac3Mg. Source: Alexandria, functional PBE-GGA.

Properties
The space group is No. 44. The value obtained for the excess energy over the best structure of this formula in the dataset is 0.035 eV per atom. Its crystal system is orthorhombic.

Unit cell a=4.204 b=12.574 c=6.132 alpha=90.00 beta=90.00 gamma=90.00
Sites, in units of the cell vectors:
Ac1 0.000 0.000 0.000
Ac2 0.000 0.225 0.499
Ac3 0.000 0.775 0.499
Ac4 0.500 0.275 0.999
Ac5 0.500 0.500 0.500
Ac6 0.500 0.725 0.999
Mg1 0.000 0.500 0.000
Mg2 0.500 0.000 0.500

***

An optimized crystal structure of Cr2CuIr. Source: Alexandria, functional PBE-GGA.

Properties
The space group is No. 44. Its crystal system is orthorhombic.

Unit cell a=2.768 b=8.507 c=4.255 alpha=90.00 beta=90.00 gamma=90.00
Sites, in units of the cell vectors:
Cr1 0.000 0.249 0.000
Cr2 0.000 0.751 0.000
Cr3 0.500 0.251 0.500
Cr4 0.500 0.749 0.500
Cu1 0.000 0.500 0.361
Cu2 0.500 0.000 0.861
Ir1 0.000 0.000 0.363
Ir2 0.500 0.500 0.863

***

Number 1: DFT formation energy -0.003 eV/atom, final energy -13.933 eV per formula unit. Number 2: DFT formation energy 0.140 eV/atom, final energy -31.645 eV per formula unit.